4
Lattice="3.0483 0.0000 0.0000 0.0000 3.0483 0.0000 0.0000 0.0000 7.4103" Properties=species:S:1:pos:R:3 comment="NbSbRh2, relaxed, DFT PBE" formation_energy_uncorrected_ev_per_atom=-0.247 pbc="T T T"
Nb 0.0000 0.0000 0.0000
Sb 0.0000 0.0000 3.7051
Rh 1.5241 1.5241 1.7451
Rh 1.5241 1.5241 5.6652